Entry 1:
# Na2Cu2F7

Na2Cu2F7 after structural relaxation (PBE, the Alexandria database).

## Properties
polymorph energy (0 for the lowest one) = 0 meV/atom
symmetry = Imma, No. 74
energy = -45.7 eV/f.u.
formation energy without anion corrections = -21.8 eV per formula unit
total magnetization = 5.92 μB/cell
N(E_F) = 10.439 states/eV/cell

a = 7.305 Å, b = 7.308 Å, c = 7.308 Å
α = 60.79°, β = 60.01°, γ = 60.01°
Site moments in Bohr magnetons follow the coordinates.
Element x y z (fractional)
Cu (0.500, 0.000, 0.500)  0.93
F (0.589, 0.053, 0.182)  0.16
F (0.089, 0.682, 0.553)  0.16
F (0.676, 0.682, 0.553)  0.16
Na (0.500, 0.500, 0.500)  0.00
F (0.406, 0.322, 0.866)  0.12
Na (0.000, 0.500, 0.000)  0.00
Cu (0.000, 0.000, 0.500)  0.93
F (0.911, 0.318, 0.447)  0.16
F (0.176, 0.053, 0.182)  0.16
F (0.250, 0.905, 0.595)  0.15
Na (0.500, 0.500, 0.000)  0.00
F (0.824, 0.947, 0.818)  0.16
Cu (0.000, 0.500, 0.500)  0.96
Na (0.000, 0.000, 0.000)  0.00
F (0.411, 0.947, 0.818)  0.16
F (0.906, 0.366, 0.822)  0.12
Cu (0.500, 0.000, 0.000)  0.96
F (0.094, 0.634, 0.178)  0.12
F (0.594, 0.678, 0.134)  0.12
F (0.750, 0.095, 0.405)  0.15
F (0.324, 0.318, 0.447)  0.16


Entry 2:
# DyInCoCu

DyInCoCu after structural relaxation (PBE, the Alexandria database).

## Properties
DFT formation energy = -0.15 eV per atom
symmetry = F-43m, No. 216
energy = -19.2 eV/f.u.
total magnetization = 0.80 μB/cell
N(E_F) = 2.944 states/eV/cell

a = 4.647 Å, b = 4.647 Å, c = 4.647 Å
α = 60.00°, β = 60.00°, γ = 60.00°
Site moments in Bohr magnetons follow the coordinates.
Element x y z (fractional)
Dy (0.000, 0.000, 0.000)  -0.04
In (0.500, 0.500, 0.500)  0.01
Cu (0.250, 0.250, 0.250)  0.03
Co (0.750, 0.750, 0.750)  0.81


Entry 3:
# ZrBr2Cl

ZrBr2Cl after structural relaxation (PBE, the Alexandria database).

## Properties
polymorph energy (0 for the lowest one) = 231 meV/atom
symmetry = Imm2, No. 44
energy = -18.5 eV/f.u.
formation energy without anion corrections = -4.7 eV per formula unit
total magnetization = 0.23 μB/cell
N(E_F) = 1.831 states/eV/cell

a = 7.861 Å, b = 7.861 Å, c = 7.861 Å
α = 155.53°, β = 141.62°, γ = 46.05°
Site moments in Bohr magnetons follow the coordinates.
Element x y z (fractional)
Zr (0.748, 0.248, 0.500)  0.17
Br (0.245, 0.745, 0.500)  -0.01
Cl (0.610, 0.610, 0.000)  -0.01
Br (0.897, 0.897, 0.000)  -0.01


Entry 4:
# NdTa2

NdTa2 after structural relaxation (PBE, the Alexandria database).

## Properties
DFT formation energy = 0.33 eV per atom
symmetry = Fd-3m, No. 227
energy = -27.5 eV/f.u.
total magnetization = 0.00 μB/cell
N(E_F) = 7.743 states/eV/cell

a = 5.778 Å, b = 5.778 Å, c = 5.778 Å
α = 60.00°, β = 60.00°, γ = 60.00°
Element x y z (fractional)
Nd (0.250, 0.250, 0.250)
Ta (0.125, 0.625, 0.625)
Ta (0.625, 0.625, 0.625)
Ta (0.625, 0.625, 0.125)
Nd (0.000, 0.000, 0.000)
Ta (0.625, 0.125, 0.625)


Entry 5:
# PmPrGdTh

PmPrGdTh after structural relaxation (PBE, the Alexandria database).

## Properties
DFT formation energy = 0.16 eV per atom
symmetry = F-43m, No. 216
energy = -30.4 eV/f.u.
total magnetization = 7.52 μB/cell
N(E_F) = 9.619 states/eV/cell

a = 5.759 Å, b = 5.759 Å, c = 5.759 Å
α = 60.00°, β = 60.00°, γ = 60.00°
Site moments in Bohr magnetons follow the coordinates.
Element x y z (fractional)
Pm (0.500, 0.500, 0.500)  -0.09
Th (0.750, 0.750, 0.750)  0.08
Gd (0.000, 0.000, 0.000)  7.25
Pr (0.250, 0.250, 0.250)  0.01


Entry 6:
# TlTe2W

TlTe2W after structural relaxation (PBE, the Alexandria database).

## Properties
polymorph energy (0 for the lowest one) = 6 meV/atom
symmetry = R-3m, No. 166
energy = -21.2 eV/f.u.
formation energy without anion corrections = 0.4 eV per formula unit
total magnetization = 0.00 μB/cell
N(E_F) = 2.367 states/eV/cell

a = 10.860 Å, b = 10.860 Å, c = 10.860 Å
α = 18.56°, β = 18.56°, γ = 18.56°
Element x y z (fractional)
Tl (0.000, 0.000, 0.000)
Te (0.108, 0.108, 0.108)
Te (0.892, 0.892, 0.892)
W (0.500, 0.500, 0.500)


Entry 7:
# Tb12CeTl3

Tb12CeTl3 after structural relaxation (PBE, the Alexandria database).

## Properties
DFT formation energy = -0.11 eV per atom
symmetry = P4/mmm, No. 123
energy = -70.4 eV/f.u.
total magnetization = 1.40 μB/cell
N(E_F) = 24.297 states/eV/cell

a = 4.871 Å, b = 4.871 Å, c = 19.931 Å
α = 90.00°, β = 90.00°, γ = 90.00°
Site moments in Bohr magnetons follow the coordinates.
Element x y z (fractional)
Tb (0.500, 0.000, 0.871)  -0.08
Tl (0.000, 0.000, 0.500)  0.00
Tb (0.500, 0.500, 0.000)  -0.12
Tb (0.500, 0.000, 0.377)  0.03
Tb (0.500, 0.500, 0.500)  0.05
Tl (0.000, 0.000, 0.744)  0.00
Tb (0.000, 0.500, 0.871)  -0.08
Tb (0.500, 0.500, 0.254)  0.00
Tb (0.000, 0.500, 0.623)  0.03
Tb (0.500, 0.500, 0.746)  0.00
Tb (0.500, 0.000, 0.623)  0.03
Tl (0.000, 0.000, 0.256)  0.00
Tb (0.000, 0.500, 0.129)  -0.08
Tb (0.000, 0.500, 0.377)  0.03
Tb (0.500, 0.000, 0.129)  -0.08
Ce (0.000, 0.000, 0.000)  -0.79


Entry 8:
# Sc2HgPd4

Sc2HgPd4 after structural relaxation (PBE, the Alexandria database).

## Properties
polymorph energy (0 for the lowest one) = 0 meV/atom
DFT formation energy = -0.61 eV per atom
symmetry = R-3m, No. 166
energy = -38.0 eV/f.u.
total magnetization = 0.00 μB/cell
N(E_F) = 3.990 states/eV/cell

a = 4.634 Å, b = 4.634 Å, c = 7.194 Å
α = 71.21°, β = 71.21°, γ = 60.00°
Element x y z (fractional)
Pd (0.860, 0.860, 0.421)
Pd (0.422, 0.422, 0.735)
Sc (0.731, 0.731, 0.808)
Pd (0.140, 0.140, 0.579)
Hg (0.000, 0.000, 0.000)
Pd (0.578, 0.578, 0.265)
Sc (0.269, 0.269, 0.192)


Entry 9:
# LiBe

LiBe after structural relaxation (PBE, the Alexandria database).

## Properties
polymorph energy (0 for the lowest one) = 165 meV/atom
DFT formation energy = 0.29 eV per atom
symmetry = P6_3/mmc, No. 194
energy = -5.1 eV/f.u.
total magnetization = 0.00 μB/cell
N(E_F) = 6.986 states/eV/cell

a = 7.417 Å, b = 7.417 Å, c = 3.206 Å
α = 90.00°, β = 90.00°, γ = 120.00°
Element x y z (fractional)
Li (0.835, 0.671, 0.250)
Li (0.835, 0.165, 0.250)
Be (0.435, 0.565, 0.250)
Li (0.671, 0.835, 0.750)
Be (0.870, 0.435, 0.750)
Be (0.435, 0.870, 0.250)
Li (0.329, 0.165, 0.250)
Be (0.565, 0.435, 0.750)
Be (0.130, 0.565, 0.250)
Li (0.165, 0.835, 0.750)
Be (0.565, 0.130, 0.750)
Li (0.165, 0.329, 0.750)


Entry 10:
# NaCa2RhN

NaCa2RhN after structural relaxation (PBE, the Alexandria database).

## Properties
symmetry = P4/mmm, No. 123
energy = -22.7 eV/f.u.
formation energy without anion corrections = -1.7 eV per formula unit
total magnetization = 0.00 μB/cell
N(E_F) = 2.752 states/eV/cell

a = 5.129 Å, b = 5.129 Å, c = 3.932 Å
α = 90.00°, β = 90.00°, γ = 90.00°
Element x y z (fractional)
Ca (0.500, 0.000, 0.000)
Rh (0.000, 0.000, 0.500)
N (0.000, 0.000, 0.000)
Ca (0.000, 0.500, 0.000)
Na (0.500, 0.500, 0.500)


Entry 11:
# Ac6TbPr2

Ac6TbPr2 after structural relaxation (PBE, the Alexandria database).

## Properties
polymorph energy (0 for the lowest one) = 74 meV/atom
DFT formation energy = 0.11 eV per atom
symmetry = C2/c, No. 15
energy = -37.9 eV/f.u.
total magnetization = 0.00 μB/cell
N(E_F) = 30.713 states/eV/cell

a = 6.712 Å, b = 10.827 Å, c = 10.827 Å
α = 72.25°, β = 84.43°, γ = 84.43°
Element x y z (fractional)
Ac (0.150, 0.349, 0.085)
Ac (0.677, 0.244, 0.978)
Ac (0.823, 0.022, 0.756)
Ac (0.177, 0.978, 0.244)
Pr (0.420, 0.558, 0.778)
Ac (0.987, 0.418, 0.688)
Tb (0.250, 0.111, 0.889)
Ac (0.650, 0.085, 0.349)
Pr (0.080, 0.222, 0.442)
Ac (0.323, 0.756, 0.022)
Ac (0.013, 0.582, 0.312)
Tb (0.750, 0.889, 0.111)
Ac (0.350, 0.915, 0.651)
Ac (0.513, 0.312, 0.582)
Pr (0.920, 0.778, 0.558)
Ac (0.487, 0.688, 0.418)
Ac (0.850, 0.651, 0.915)
Pr (0.580, 0.442, 0.222)


Entry 12:
# Dy4Co3Pd

Dy4Co3Pd after structural relaxation (PBE, the Alexandria database).

## Properties
DFT formation energy = -0.35 eV per atom
symmetry = Pmm2, No. 25
energy = -47.7 eV/f.u.
total magnetization = 0.85 μB/cell
N(E_F) = 6.281 states/eV/cell

a = 3.950 Å, b = 3.957 Å, c = 10.530 Å
α = 90.00°, β = 90.00°, γ = 90.00°
Site moments in Bohr magnetons follow the coordinates.
Element x y z (fractional)
Dy (0.500, 0.000, 0.645)  -0.10
Co (0.000, 0.500, 0.556)  0.61
Co (0.500, 0.000, 0.917)  -0.05
Pd (0.500, 0.500, 0.076)  0.00
Dy (0.500, 0.500, 0.366)  -0.13
Co (0.000, 0.000, 0.444)  0.64
Dy (0.000, 0.500, 0.851)  -0.01
Dy (0.000, 0.000, 0.146)  -0.03